1.
VASP calculation (GGA-PBE) on a relaxed Sb2PtW crystal.

Lattice parameters (Å, degrees): 4.784 4.784 4.784 60.00 60.00 60.00
Atoms (fractional coordinates):
Sb 0.250 0.250 0.250
Sb 0.750 0.750 0.750
W 0.000 0.000 0.000
Pt 0.500 0.500 0.500

**Uncorrected formation energy**: 473 meV/atom
**Polymorph energy (0 for the lowest one)**: 360.6 meV per atom



2.
VASP calculation (GGA-PBE) on a relaxed SbPt2W crystal.

Lattice parameters (Å, degrees): 5.200 5.200 5.200 138.42 131.90 65.43
Atoms (fractional coordinates):
Pt 0.984 0.984 0.000
Pt 0.516 0.516 0.000
Sb 0.750 0.250 0.500
W 0.250 0.750 0.500

**Uncorrected formation energy**: 202 meV/atom



3.
VASP calculation (GGA-PBE) on a relaxed SbPtW4 crystal.

Lattice parameters (Å, degrees): 5.327 5.327 5.327 60.00 60.00 60.00
Atoms (fractional coordinates):
Sb 0.000 0.000 0.000
Pt 0.250 0.250 0.250
W 0.624 0.624 0.128
W 0.624 0.128 0.624
W 0.624 0.624 0.624
W 0.128 0.624 0.624

**Uncorrected formation energy**: 650 meV/atom



4.
VASP calculation (GGA-PBE) on a relaxed SbPt2W crystal.

Lattice parameters (Å, degrees): 6.270 5.020 2.977 89.85 61.93 119.01
Atoms (fractional coordinates):
Pt 0.000 0.000 0.000
Pt 0.500 0.000 0.500
Sb 0.000 0.500 0.500
W 0.500 0.500 0.000

**Uncorrected formation energy**: 106 meV/atom



5.
VASP calculation (GGA-PBE) on a relaxed Sb2PtW crystal.

Lattice parameters (Å, degrees): 4.873 2.955 5.504 90.62 90.00 90.00
Atoms (fractional coordinates):
Pt 0.500 0.750 0.750
Sb 0.000 0.020 0.996
Sb 0.000 0.480 0.504
W 0.500 0.250 0.250

**Uncorrected formation energy**: 621 meV/atom
**Polymorph energy (0 for the lowest one)**: 509.0 meV per atom



6.
VASP calculation (GGA-PBE) on a relaxed SbPt2W crystal.

Lattice parameters (Å, degrees): 4.979 4.979 4.826 82.61 82.61 35.70
Atoms (fractional coordinates):
Pt 0.988 0.988 0.018
Pt 0.512 0.512 0.482
Sb 0.750 0.750 0.750
W 0.250 0.250 0.250

**Uncorrected formation energy**: 133 meV/atom



> What is the uncorrected formation energy in the sixth record?

133 meV/atom



> Which of these has the highest uncorrected formation energy?

SbPtW4



> Among the records above, which one has the lowest uncorrected formation energy?

number 4



> Look up the uncorrected formation energy of the fifth one.

621 meV/atom